No. 1
# Fe2Sb2Au (PBE, optimized geometry)
data_Fe2Sb2Au
_chemical_formula_sum 'Fe4 Sb4 Au2'
_cell_length_a 7.097
_cell_length_b 7.097
_cell_length_c 3.511
_cell_angle_alpha 90.00
_cell_angle_beta 90.00
_cell_angle_gamma 90.00
_space_group_name_H-M_alt 'P 1'
_space_group_IT_number 1
_space_group_name_Hall 'P 1'
loop_
_atom_site_label
_atom_site_type_symbol
_atom_site_fract_x
_atom_site_fract_y
_atom_site_fract_z
Sb1 Sb 0.165 0.665 0.500
Sb2 Sb 0.665 0.835 0.500
Sb3 Sb 0.835 0.335 0.500
Sb4 Sb 0.335 0.165 0.500
Au1 Au 0.000 0.000 0.000
Au2 Au 0.500 0.500 0.000
Fe1 Fe 0.371 0.871 0.000
Fe2 Fe 0.871 0.629 0.000
Fe3 Fe 0.629 0.129 0.000
Fe4 Fe 0.129 0.371 0.000
# * offset from the most stable computed form: 0 meV/atom

No. 2
# CaLaVP2 (PBE, optimized geometry)
data_CaLaVP2
_chemical_formula_sum 'Ca1 La1 V1 P2'
_cell_length_a 4.776
_cell_length_b 4.669
_cell_length_c 4.776
_cell_angle_alpha 90.00
_cell_angle_beta 90.00
_cell_angle_gamma 90.00
_space_group_name_H-M_alt 'P 1'
_space_group_IT_number 1
_space_group_name_Hall 'P 1'
loop_
_atom_site_label
_atom_site_type_symbol
_atom_site_fract_x
_atom_site_fract_y
_atom_site_fract_z
P1 P 0.000 0.000 0.500
P2 P 0.500 0.000 0.000
Ca1 Ca 0.000 0.500 0.000
V1 V 0.000 0.000 0.000
La1 La 0.500 0.500 0.500
# * formation enthalpy at 0 K: -194 meV/atom

No. 3
# TiBe2Ag2 (PBE, optimized geometry)
data_TiBe2Ag2
_chemical_formula_sum 'Ti2 Be4 Ag4'
_cell_length_a 7.273
_cell_length_b 7.273
_cell_length_c 2.666
_cell_angle_alpha 90.00
_cell_angle_beta 90.00
_cell_angle_gamma 90.00
_space_group_name_H-M_alt 'P 1'
_space_group_IT_number 1
_space_group_name_Hall 'P 1'
loop_
_atom_site_label
_atom_site_type_symbol
_atom_site_fract_x
_atom_site_fract_y
_atom_site_fract_z
Be1 Be 0.166 0.666 0.500
Be2 Be 0.666 0.834 0.500
Be3 Be 0.834 0.334 0.500
Be4 Be 0.334 0.166 0.500
Ag1 Ag 0.365 0.865 0.000
Ag2 Ag 0.865 0.635 0.000
Ag3 Ag 0.635 0.135 0.000
Ag4 Ag 0.135 0.365 0.000
Ti1 Ti 0.000 0.000 0.000
Ti2 Ti 0.500 0.500 0.000
# * formation enthalpy at 0 K: 217 meV/atom

no.,total energy (eV/cell)
1,-55.1
2,-27.8
3,-39.9